A geometry-optimized Ca3U3CrN8 structure. Source: Alexandria, functional PBE.

a b c (Å): 6.8655 6.8655 6.8655
angles (deg): 58.91 58.91 58.91
Element x y z (fractional)
Ca 0.0000 0.5000 0.5000
Ca 0.5000 0.0000 0.5000
Ca 0.5000 0.5000 0.0000
U 0.0000 0.0000 0.5000
U 0.0000 0.5000 0.0000
U 0.5000 0.0000 0.0000
Cr 0.5000 0.5000 0.5000
N 0.2421 0.2421 0.2421
N 0.2416 0.7253 0.7253
N 0.2747 0.2747 0.7584
N 0.2747 0.7584 0.2747
N 0.7253 0.2416 0.7253
N 0.7253 0.7253 0.2416
N 0.7584 0.2747 0.2747
N 0.7579 0.7579 0.7579

The final energy is -132.502 eV/cell. The calculation puts the formation energy (no corrections) at -1.09 eV/atom. Its space group is R-3m (166). The value obtained for the magnetization is 6.04 μB/f.u.